The following is a GGA-PBE calculation of ZnSn2Pb after structural relaxation, from OQMD via LeMat-Bulk.

a b c (Å): 5.3104 5.3104 5.3104
angles (deg): 60.00 60.00 60.00
Closest atoms and distances in Å follow each position.
Positions (direct):
Zn 0.0000 0.0000 0.0000  4 Pb 3.25, 4 Sn 3.25
Sn 0.2500 0.2500 0.2500  4 Sn 3.25, 4 Zn 3.25
Sn 0.5000 0.5000 0.5000  4 Pb 3.25, 4 Sn 3.25
Pb 0.7500 0.7500 0.7500  4 Sn 3.25, 4 Zn 3.25

Calculated values
Space-group type: F-43m (216)
DFT total energy, eV for the cell shown: -12.44